First-principles (GGA-PBE) data for crystalline H2IBr at its relaxed geometry, as listed in Alexandria.

Structure (CIF):
```
data_H2IBr
_chemical_formula_sum 'H8 I4 Br4'
_cell_length_a 5.4559
_cell_length_b 5.4559
_cell_length_c 10.5124
_cell_angle_alpha 90.00
_cell_angle_beta 90.00
_cell_angle_gamma 90.00
_space_group_name_H-M_alt 'I -4 2 d'
_space_group_IT_number 122
_space_group_name_Hall 'I -4 2bw'
loop_
_atom_site_label
_atom_site_fract_x
_atom_site_fract_y
_atom_site_fract_z
H1 0.0043 0.2500 0.1250
I1 0.0000 0.0000 0.0000
Br1 0.0000 0.0000 0.5000
```

First-principles (GGA-PBE) data for crystalline Cr2Ga2W at its relaxed geometry, as listed in Alexandria.

Summary:
The calculated formation energy comes out at 0.7138 eV per atom.

Structure (CIF):
```
data_Cr2Ga2W
_chemical_formula_sum 'Cr4 Ga4 W2'
_cell_length_a 4.0020
_cell_length_b 4.0020
_cell_length_c 9.4068
_cell_angle_alpha 90.00
_cell_angle_beta 90.00
_cell_angle_gamma 90.00
_space_group_name_H-M_alt 'I 4/m m m'
_space_group_IT_number 139
_space_group_name_Hall '-I 4 2'
loop_
_atom_site_label
_atom_site_fract_x
_atom_site_fract_y
_atom_site_fract_z
Cr1 0.0000 0.0000 0.0962
Ga1 0.0000 0.5000 0.2500
W1 0.0000 0.0000 0.5000
```

Computed raw total energy, in the same sequence as the records: -33.12, -69.37 eV per cell.
Computed E above lowest polymorph, in the same sequence as the records: 0.535, 0.500 eV per atom.